Entry 1:
# GGA-PBEsol Rb2Hg2Pd, relaxed
# energy of formation	-0.08	eV/atom
# space group	P4/mbm (127)
# volume	149	Å³/f.u.
data_Rb2Hg2Pd
_chemical_formula_sum 'Rb4 Hg4 Pd2'
_cell_length_a 5.573
_cell_length_b 7.323
_cell_length_c 7.323
_cell_angle_alpha 90.00
_cell_angle_beta 90.00
_cell_angle_gamma 90.00
_space_group_name_H-M_alt 'P 1'
_space_group_IT_number 1
_space_group_name_Hall 'P 1'
loop_
_atom_site_label
_atom_site_type_symbol
_atom_site_fract_x
_atom_site_fract_y
_atom_site_fract_z
Rb1 Rb 0.500 0.176 0.676
Rb2 Rb 0.500 0.676 0.824
Rb3 Rb 0.500 0.824 0.324
Rb4 Rb 0.500 0.324 0.176
Hg1 Hg 0.000 0.350 0.850
Hg2 Hg 0.000 0.850 0.650
Hg3 Hg 0.000 0.650 0.150
Hg4 Hg 0.000 0.150 0.350
Pd1 Pd 0.000 0.000 0.000
Pd2 Pd 0.000 0.500 0.500


Entry 2:
# GGA-PBEsol TaPdS2, relaxed
# ΔE_f (raw)	-0.408	eV per atom
# space group	I-42d (122)
# volume	79	Å³/f.u.
data_TaPdS2
_chemical_formula_sum 'Ta2 Pd2 S4'
_cell_length_a 5.553
_cell_length_b 5.553
_cell_length_c 6.443
_cell_angle_alpha 115.53
_cell_angle_beta 115.53
_cell_angle_gamma 90.00
_space_group_name_H-M_alt 'P 1'
_space_group_IT_number 1
_space_group_name_Hall 'P 1'
loop_
_atom_site_label
_atom_site_type_symbol
_atom_site_fract_x
_atom_site_fract_y
_atom_site_fract_z
S1 S 0.372 0.875 0.250
S2 S 0.878 0.375 0.250
S3 S 0.125 0.122 0.750
S4 S 0.625 0.628 0.750
Pd1 Pd 0.750 0.250 0.500
Pd2 Pd 0.500 0.500 0.000
Ta1 Ta 0.250 0.750 0.500
Ta2 Ta 0.000 0.000 0.000


Entry 3:
# GGA-PBEsol Be2PCl, relaxed
# relative energy among the computed polymorphs	0.0027	eV/atom
# ΔE_f (raw)	-0.504	eV per atom
# space group	P-4m2 (115)
# volume	63	Å³/f.u.
data_Be2PCl
_chemical_formula_sum 'Be2 P1 Cl1'
_cell_length_a 3.588
_cell_length_b 3.588
_cell_length_c 4.859
_cell_angle_alpha 90.00
_cell_angle_beta 90.00
_cell_angle_gamma 90.00
_space_group_name_H-M_alt 'P 1'
_space_group_IT_number 1
_space_group_name_Hall 'P 1'
loop_
_atom_site_label
_atom_site_type_symbol
_atom_site_fract_x
_atom_site_fract_y
_atom_site_fract_z
Be1 Be 0.500 0.000 0.284
Be2 Be 0.000 0.500 0.716
P1 P 0.000 0.000 0.500
Cl1 Cl 0.500 0.500 0.000


Entry 4:
# GGA-PBEsol Ca2SnS4, relaxed
# relative energy among the computed polymorphs	0.0392	eV/atom
# ΔE_f (raw)	-1.381	eV per atom
# space group	P-62m (189)
# volume	151	Å³/f.u.
data_Ca2SnS4
_chemical_formula_sum 'Ca6 Sn3 S12'
_cell_length_a 3.885
_cell_length_b 11.587
_cell_length_c 11.587
_cell_angle_alpha 120.00
_cell_angle_beta 90.00
_cell_angle_gamma 90.00
_space_group_name_H-M_alt 'P 1'
_space_group_IT_number 1
_space_group_name_Hall 'P 1'
loop_
_atom_site_label
_atom_site_type_symbol
_atom_site_fract_x
_atom_site_fract_y
_atom_site_fract_z
Ca1 Ca 0.000 0.000 0.000
Ca2 Ca 0.500 0.667 0.333
Ca3 Ca 0.500 0.333 0.667
Ca4 Ca 0.500 0.000 0.290
Ca5 Ca 0.500 0.290 0.000
Ca6 Ca 0.500 0.710 0.710
Sn1 Sn 0.000 0.000 0.659
Sn2 Sn 0.000 0.659 0.000
Sn3 Sn 0.000 0.341 0.341
S1 S 0.500 0.000 0.826
S2 S 0.500 0.826 0.000
S3 S 0.500 0.174 0.174
S4 S 0.500 0.000 0.522
S5 S 0.500 0.522 0.000
S6 S 0.500 0.478 0.478
S7 S 0.000 0.246 0.801
S8 S 0.000 0.555 0.754
S9 S 0.000 0.199 0.445
S10 S 0.000 0.754 0.555
S11 S 0.000 0.445 0.199
S12 S 0.000 0.801 0.246